A geometry-optimized TaSi2Te structure, computed with PBE.

Cell: 4.564 4.564 5.881 Å, 93.40 93.40 45.84°
Element x y z (fractional)
Ta  0.000  0.000  0.000
Si  0.291  0.291  0.144
Si  0.552  0.552  0.306
Te  0.680  0.680  0.725

Output
* DOS at the Fermi energy: 0.548 states/eV/atom
* formation energy without anion corrections: 0.172 eV/atom
* ρ: 6.9 g/cm³
* crystal system: monoclinic
* uncorrected energy: -6.2884 eV/atom
* size of the total moment: 0.0 μB/f.u.
* space group: Cm